Density functional theory data (PBEsol) for crystalline BeCd2S at its relaxed geometry.

Lattice parameters (Å, degrees): 4.698 4.698 4.698 60.00 60.00 60.00
Atoms (fractional coordinates):
1 Be 0.000 0.000 0.000
2 S 0.500 0.500 0.500
3 Cd 0.250 0.250 0.250
4 Cd 0.750 0.750 0.750

Summary:
total DFT energy (no corrections): -2.130 eV per atom
formation energy (no corrections): 0.564 eV per atom
total magnetic moment: 0.00 μB/f.u.
SG: Fm-3m